# ZnGa6Pb, optimized geometry, DFT GGA-PBE
# total magnetization = 0.0000 μB/atom
# raw total energy = -22.35 eV per formula unit
# SG = Pmm2
# energy of formation from the pure elements = 0.8 eV per formula unit
data_ZnGa6Pb
_chemical_formula_sum 'Zn1 Ga6 Pb1'
_cell_length_a 3.021
_cell_length_b 8.262
_cell_length_c 7.190
_cell_angle_alpha 90.00
_cell_angle_beta 90.00
_cell_angle_gamma 90.00
_symmetry_space_group_name_H-M 'P 1'
_symmetry_Int_Tables_number 1
_symmetry_space_group_name_Hall 'P 1'
loop_
_atom_site_label
_atom_site_fract_x
_atom_site_fract_y
_atom_site_fract_z
Zn1 0.000 0.000 0.000
Ga1 0.000 0.218 0.482
Ga2 0.000 0.500 0.065
Ga3 0.000 0.782 0.482
Ga4 0.500 0.000 0.693
Ga5 0.500 0.233 0.157
Ga6 0.500 0.767 0.157
Pb1 0.500 0.500 0.679

# ZnGaPb2, optimized geometry, DFT GGA-PBE
# total magnetization = 0.0000 μB/atom
# relative energy among the computed polymorphs = 45 meV per atom
# raw total energy = -11.05 eV per formula unit
# SG = R3m
# energy of formation from the pure elements = 0.7 eV per formula unit
data_ZnGaPb2
_chemical_formula_sum 'Zn1 Ga1 Pb2'
_cell_length_a 6.599
_cell_length_b 6.599
_cell_length_c 6.599
_cell_angle_alpha 40.24
_cell_angle_beta 40.24
_cell_angle_gamma 40.24
_symmetry_space_group_name_H-M 'P 1'
_symmetry_Int_Tables_number 1
_symmetry_space_group_name_Hall 'P 1'
loop_
_atom_site_label
_atom_site_fract_x
_atom_site_fract_y
_atom_site_fract_z
Zn1 0.000 0.000 0.000
Ga1 0.839 0.839 0.839
Pb1 0.412 0.412 0.412
Pb2 0.595 0.595 0.595

# ZnGa10Pb2, optimized geometry, DFT GGA-PBE
# total magnetization = 0.0000 μB/atom
# raw total energy = -38.35 eV per formula unit
# SG = P2_1/c
# energy of formation from the pure elements = 0.6 eV per formula unit
data_ZnGa10Pb2
_chemical_formula_sum 'Zn2 Ga20 Pb4'
_cell_length_a 5.820
_cell_length_b 6.437
_cell_length_c 14.854
_cell_angle_alpha 90.00
_cell_angle_beta 101.55
_cell_angle_gamma 90.00
_symmetry_space_group_name_H-M 'P 1'
_symmetry_Int_Tables_number 1
_symmetry_space_group_name_Hall 'P 1'
loop_
_atom_site_label
_atom_site_fract_x
_atom_site_fract_y
_atom_site_fract_z
Zn1 0.000 0.000 0.000
Zn2 0.000 0.500 0.500
Ga1 0.074 0.220 0.836
Ga2 0.074 0.280 0.336
Ga3 0.196 0.130 0.521
Ga4 0.196 0.370 0.021
Ga5 0.272 0.079 0.187
Ga6 0.272 0.421 0.687
Ga7 0.290 0.001 0.704
Ga8 0.290 0.499 0.204
Ga9 0.443 0.723 0.582
Ga10 0.443 0.777 0.082
Ga11 0.557 0.223 0.918
Ga12 0.557 0.277 0.418
Ga13 0.710 0.501 0.796
Ga14 0.710 0.999 0.296
Ga15 0.728 0.579 0.313
Ga16 0.728 0.921 0.813
Ga17 0.804 0.630 0.979
Ga18 0.804 0.870 0.479
Ga19 0.926 0.720 0.664
Ga20 0.926 0.780 0.164
Pb1 0.263 0.711 0.874
Pb2 0.263 0.789 0.374
Pb3 0.737 0.211 0.626
Pb4 0.737 0.289 0.126

# Zn2GaPb, optimized geometry, DFT GGA-PBE
# total magnetization = 0.0000 μB/atom
# relative energy among the computed polymorphs = 52 meV per atom
# raw total energy = -8.59 eV per formula unit
# SG = Fm-3m
# energy of formation from the pure elements = 0.7 eV per formula unit
data_Zn2GaPb
_chemical_formula_sum 'Zn2 Ga1 Pb1'
_cell_length_a 4.937
_cell_length_b 4.937
_cell_length_c 4.937
_cell_angle_alpha 60.00
_cell_angle_beta 60.00
_cell_angle_gamma 60.00
_symmetry_space_group_name_H-M 'P 1'
_symmetry_Int_Tables_number 1
_symmetry_space_group_name_Hall 'P 1'
loop_
_atom_site_label
_atom_site_fract_x
_atom_site_fract_y
_atom_site_fract_z
Zn1 0.250 0.250 0.250
Zn2 0.750 0.750 0.750
Ga1 0.000 0.000 0.000
Pb1 0.500 0.500 0.500

# ZnGa4Pb, optimized geometry, DFT GGA-PBE
# total magnetization = 0.0000 μB/atom
# relative energy among the computed polymorphs = 0 meV per atom
# raw total energy = -16.82 eV per formula unit
# SG = C2/m
# energy of formation from the pure elements = 0.3 eV per formula unit
data_ZnGa4Pb
_chemical_formula_sum 'Zn2 Ga8 Pb2'
_cell_length_a 6.583
_cell_length_b 6.583
_cell_length_c 7.187
_cell_angle_alpha 105.57
_cell_angle_beta 105.57
_cell_angle_gamma 57.98
_symmetry_space_group_name_H-M 'P 1'
_symmetry_Int_Tables_number 1
_symmetry_space_group_name_Hall 'P 1'
loop_
_atom_site_label
_atom_site_fract_x
_atom_site_fract_y
_atom_site_fract_z
Zn1 0.099 0.099 0.318
Zn2 0.901 0.901 0.682
Ga1 0.117 0.693 0.073
Ga2 0.282 0.718 0.500
Ga3 0.296 0.296 0.221
Ga4 0.307 0.883 0.927
Ga5 0.693 0.117 0.073
Ga6 0.704 0.704 0.779
Ga7 0.718 0.282 0.500
Ga8 0.883 0.307 0.927
Pb1 0.305 0.305 0.699
Pb2 0.695 0.695 0.301

# ZnGaPb2, optimized geometry, DFT GGA-PBE
# total magnetization = 0.0000 μB/atom
# relative energy among the computed polymorphs = 6 meV per atom
# raw total energy = -11.21 eV per formula unit
# SG = Fm-3m
# energy of formation from the pure elements = 0.5 eV per formula unit
data_ZnGaPb2
_chemical_formula_sum 'Zn1 Ga1 Pb2'
_cell_length_a 5.224
_cell_length_b 5.224
_cell_length_c 5.224
_cell_angle_alpha 60.00
_cell_angle_beta 60.00
_cell_angle_gamma 60.00
_symmetry_space_group_name_H-M 'P 1'
_symmetry_Int_Tables_number 1
_symmetry_space_group_name_Hall 'P 1'
loop_
_atom_site_label
_atom_site_fract_x
_atom_site_fract_y
_atom_site_fract_z
Zn1 0.000 0.000 0.000
Ga1 0.500 0.500 0.500
Pb1 0.250 0.250 0.250
Pb2 0.750 0.750 0.750

# ZnGa2Pb2, optimized geometry, DFT GGA-PBE
# total magnetization = 0.0000 μB/atom
# relative energy among the computed polymorphs = 142 meV per atom
# raw total energy = -13.65 eV per formula unit
# SG = P4/mbm
# energy of formation from the pure elements = 1.1 eV per formula unit
data_ZnGa2Pb2
_chemical_formula_sum 'Zn2 Ga4 Pb4'
_cell_length_a 8.382
_cell_length_b 8.382
_cell_length_c 3.729
_cell_angle_alpha 90.00
_cell_angle_beta 90.00
_cell_angle_gamma 90.00
_symmetry_space_group_name_H-M 'P 1'
_symmetry_Int_Tables_number 1
_symmetry_space_group_name_Hall 'P 1'
loop_
_atom_site_label
_atom_site_fract_x
_atom_site_fract_y
_atom_site_fract_z
Zn1 0.000 0.000 0.000
Zn2 0.500 0.500 0.000
Ga1 0.114 0.386 0.500
Ga2 0.386 0.886 0.500
Ga3 0.614 0.114 0.500
Ga4 0.886 0.614 0.500
Pb1 0.187 0.687 0.000
Pb2 0.313 0.187 0.000
Pb3 0.687 0.813 0.000
Pb4 0.813 0.313 0.000

# ZnGaPb2, optimized geometry, DFT GGA-PBE
# total magnetization = 0.0000 μB/atom
# relative energy among the computed polymorphs = 72 meV per atom
# raw total energy = -10.94 eV per formula unit
# SG = R-3m
# energy of formation from the pure elements = 0.8 eV per formula unit
data_ZnGaPb2
_chemical_formula_sum 'Zn1 Ga1 Pb2'
_cell_length_a 11.235
_cell_length_b 11.235
_cell_length_c 11.235
_cell_angle_alpha 17.26
_cell_angle_beta 17.26
_cell_angle_gamma 17.26
_symmetry_space_group_name_H-M 'P 1'
_symmetry_Int_Tables_number 1
_symmetry_space_group_name_Hall 'P 1'
loop_
_atom_site_label
_atom_site_fract_x
_atom_site_fract_y
_atom_site_fract_z
Zn1 0.000 0.000 0.000
Ga1 0.500 0.500 0.500
Pb1 0.088 0.088 0.088
Pb2 0.912 0.912 0.912

# Zn2GaPb, optimized geometry, DFT GGA-PBE
# total magnetization = 0.0000 μB/atom
# relative energy among the computed polymorphs = 0 meV per atom
# raw total energy = -8.80 eV per formula unit
# SG = P4/mmm
# energy of formation from the pure elements = 0.5 eV per formula unit
data_Zn2GaPb
_chemical_formula_sum 'Zn2 Ga1 Pb1'
_cell_length_a 3.446
_cell_length_b 3.446
_cell_length_c 7.040
_cell_angle_alpha 90.00
_cell_angle_beta 90.00
_cell_angle_gamma 90.00
_symmetry_space_group_name_H-M 'P 1'
_symmetry_Int_Tables_number 1
_symmetry_space_group_name_Hall 'P 1'
loop_
_atom_site_label
_atom_site_fract_x
_atom_site_fract_y
_atom_site_fract_z
Zn1 0.000 0.000 0.202
Zn2 0.000 0.000 0.798
Ga1 0.500 0.500 0.000
Pb1 0.500 0.500 0.500

# ZnGaPb, optimized geometry, DFT GGA-PBE
# total magnetization = 0.0000 μB/atom
# raw total energy = -7.58 eV per formula unit
# SG = F-43m
# energy of formation from the pure elements = 0.4 eV per formula unit
data_ZnGaPb
_chemical_formula_sum 'Zn1 Ga1 Pb1'
_cell_length_a 4.686
_cell_length_b 4.686
_cell_length_c 4.686
_cell_angle_alpha 60.00
_cell_angle_beta 60.00
_cell_angle_gamma 60.00
_symmetry_space_group_name_H-M 'P 1'
_symmetry_Int_Tables_number 1
_symmetry_space_group_name_Hall 'P 1'
loop_
_atom_site_label
_atom_site_fract_x
_atom_site_fract_y
_atom_site_fract_z
Zn1 0.000 0.000 0.000
Ga1 0.750 0.750 0.750
Pb1 0.250 0.250 0.250

# ZnGaPb, optimized geometry, DFT GGA-PBE
# total magnetization = 0.0000 μB/atom
# raw total energy = -7.71 eV per formula unit
# SG = P3m1
# energy of formation from the pure elements = 0.3 eV per formula unit
data_ZnGaPb
_chemical_formula_sum 'Zn1 Ga1 Pb1'
_cell_length_a 4.407
_cell_length_b 4.407
_cell_length_c 4.146
_cell_angle_alpha 90.00
_cell_angle_beta 90.00
_cell_angle_gamma 120.00
_symmetry_space_group_name_H-M 'P 1'
_symmetry_Int_Tables_number 1
_symmetry_space_group_name_Hall 'P 1'
loop_
_atom_site_label
_atom_site_fract_x
_atom_site_fract_y
_atom_site_fract_z
Zn1 0.000 0.000 0.000
Ga1 0.667 0.333 0.997
Pb1 0.333 0.667 0.498

# Zn4GaPb, optimized geometry, DFT GGA-PBE
# total magnetization = 0.0000 μB/atom
# raw total energy = -11.20 eV per formula unit
# SG = F-43m
# energy of formation from the pure elements = 0.6 eV per formula unit
data_Zn4GaPb
_chemical_formula_sum 'Zn4 Ga1 Pb1'
_cell_length_a 5.460
_cell_length_b 5.460
_cell_length_c 5.460
_cell_angle_alpha 60.00
_cell_angle_beta 60.00
_cell_angle_gamma 60.00
_symmetry_space_group_name_H-M 'P 1'
_symmetry_Int_Tables_number 1
_symmetry_space_group_name_Hall 'P 1'
loop_
_atom_site_label
_atom_site_fract_x
_atom_site_fract_y
_atom_site_fract_z
Zn1 0.124 0.124 0.124
Zn2 0.124 0.124 0.627
Zn3 0.124 0.627 0.124
Zn4 0.627 0.124 0.124
Ga1 0.750 0.750 0.750
Pb1 0.500 0.500 0.500

# Zr5GaPb2, optimized geometry, DFT GGA-PBE
# total magnetization = 0.0000 μB/atom
# raw total energy = -55.20 eV per formula unit
# SG = Pbam
# energy of formation from the pure elements = -2.0 eV per formula unit
data_Zr5GaPb2
_chemical_formula_sum 'Zr10 Ga2 Pb4'
_cell_length_a 6.217
_cell_length_b 12.073
_cell_length_c 4.785
_cell_angle_alpha 90.00
_cell_angle_beta 90.00
_cell_angle_gamma 90.00
_symmetry_space_group_name_H-M 'P 1'
_symmetry_Int_Tables_number 1
_symmetry_space_group_name_Hall 'P 1'
loop_
_atom_site_label
_atom_site_fract_x
_atom_site_fract_y
_atom_site_fract_z
Zr1 0.000 0.000 0.000
Zr2 0.140 0.249 0.000
Zr3 0.150 0.603 0.500
Zr4 0.350 0.103 0.500
Zr5 0.360 0.749 0.000
Zr6 0.500 0.500 0.000
Zr7 0.640 0.251 0.000
Zr8 0.650 0.897 0.500
Zr9 0.850 0.397 0.500
Zr10 0.860 0.751 0.000
Ga1 0.000 0.500 0.000
Ga2 0.500 0.000 0.000
Pb1 0.136 0.857 0.500
Pb2 0.364 0.357 0.500
Pb3 0.636 0.643 0.500
Pb4 0.864 0.143 0.500